The following is a DFT calculation (PBE) of a relaxed structure of Tb2Pr3Tm3.

## Properties
E above lowest polymorph in meV per atom: 67
Raw total energy in eV/atom: -4.5353
Magnetic moment in μB/f.u.: 0.000

abc: 8.6559 8.6559 6.0497
angles: 109.17 109.17 38.69
Atoms (fractional coordinates):
Tb  0.2499  0.2499  0.1805
Tb  0.7501  0.7501  0.8195
Pr  0.3645  0.3645  0.8001
Pr  0.5000  0.5000  0.5000
Pr  0.6355  0.6355  0.1999
Tm  0.0000  0.0000  0.0000
Tm  0.1319  0.1319  0.5809
Tm  0.8681  0.8681  0.4191

---

The following is a DFT calculation (PBE) of a relaxed structure of Tb6Pr2Tm3.

## Properties
E above lowest polymorph in meV per atom: 99
Raw total energy in eV/atom: -4.3382
Magnetic moment in μB/f.u.: 0.000

abc: 17.0458 17.0458 17.0458
angles: 164.02 164.02 22.67
Atoms (fractional coordinates):
Tb  0.1232  0.6232  0.5000
Tb  0.1976  0.1976  0.0000
Tb  0.3768  0.8768  0.5000
Tb  0.6232  0.1232  0.5000
Tb  0.8024  0.8024  0.0000
Tb  0.8768  0.3768  0.5000
Pr  0.0463  0.0463  0.0000
Pr  0.9537  0.9537  0.0000
Tm  0.2996  0.2996  0.0000
Tm  0.5000  0.5000  0.0000
Tm  0.7004  0.7004  0.0000

---

The following is a DFT calculation (PBE) of a relaxed structure of TbPr2Tm9.

## Properties
E above lowest polymorph in meV per atom: 0
Raw total energy in eV/atom: -4.5065
Magnetic moment in μB/f.u.: 0.000

abc: 4.9958 4.9958 14.9806
angles: 90.00 90.00 90.00
Atoms (fractional coordinates):
Tb  0.0000  0.0000  0.0000
Pr  0.0000  0.0000  0.3330
Pr  0.0000  0.0000  0.6670
Tm  0.0000  0.5000  0.1643
Tm  0.0000  0.5000  0.5000
Tm  0.0000  0.5000  0.8357
Tm  0.5000  0.0000  0.1643
Tm  0.5000  0.0000  0.5000
Tm  0.5000  0.0000  0.8357
Tm  0.5000  0.5000  0.0000
Tm  0.5000  0.5000  0.3319
Tm  0.5000  0.5000  0.6681

---

The following is a DFT calculation (PBE) of a relaxed structure of Tb2Pr8Tm.

## Properties
E above lowest polymorph in meV per atom: 53
Raw total energy in eV/atom: -4.5608
Magnetic moment in μB/f.u.: 0.000

abc: 9.1299 9.1299 6.7845
angles: 100.06 100.06 44.35
Atoms (fractional coordinates):
Tb  0.1926  0.1926  0.3078
Tb  0.8074  0.8074  0.6922
Pr  0.1767  0.6528  0.0976
Pr  0.2441  0.2441  0.8215
Pr  0.3472  0.8233  0.9024
Pr  0.4041  0.4041  0.5813
Pr  0.5959  0.5959  0.4187
Pr  0.6528  0.1767  0.0976
Pr  0.7559  0.7559  0.1785
Pr  0.8233  0.3472  0.9024
Tm  0.0000  0.0000  0.5000

---

The following is a DFT calculation (PBE) of a relaxed structure of Tb2PrTm5.

## Properties
E above lowest polymorph in meV per atom: 0
Raw total energy in eV/atom: -4.5280
Magnetic moment in μB/f.u.: 0.000

abc: 7.0596 19.9248 7.0757
angles: 90.00 90.00 90.00
Atoms (fractional coordinates):
Tb  0.0000  0.0000  0.2483
Tb  0.0000  0.0000  0.7517
Tb  0.2481  0.3744  0.0000
Tb  0.2519  0.8744  0.0000
Tb  0.5000  0.5000  0.2483
Tb  0.5000  0.5000  0.7517
Tb  0.7481  0.1256  0.0000
Tb  0.7519  0.6256  0.0000
Pr  0.2486  0.3744  0.5000
Pr  0.2514  0.8744  0.5000
Pr  0.7486  0.1256  0.5000
Pr  0.7514  0.6256  0.5000
Tm  0.0000  0.5000  0.2483
Tm  0.0000  0.5000  0.7517
Tm  0.0019  0.7500  0.2481
Tm  0.0019  0.7500  0.7519
Tm  0.2489  0.1254  0.0000
Tm  0.2491  0.1254  0.5000
Tm  0.2511  0.6254  0.0000
Tm  0.2509  0.6254  0.5000
Tm  0.4981  0.2500  0.2481
Tm  0.4981  0.2500  0.7519
Tm  0.5000  0.0000  0.2483
Tm  0.5000  0.0000  0.7517
Tm  0.5019  0.7500  0.2481
Tm  0.5019  0.7500  0.7519
Tm  0.7489  0.3746  0.0000
Tm  0.7491  0.3746  0.5000
Tm  0.7511  0.8746  0.0000
Tm  0.7509  0.8746  0.5000
Tm  0.9981  0.2500  0.2481
Tm  0.9981  0.2500  0.7519

---

The following is a DFT calculation (PBE) of a relaxed structure of Tb8PrTm2.

## Properties
E above lowest polymorph in meV per atom: 0
Raw total energy in eV/atom: -4.4993
Magnetic moment in μB/f.u.: 0.000

abc: 9.3518 9.3518 9.3518
angles: 145.63 128.34 63.53
Atoms (fractional coordinates):
Tb  0.1549  0.3605  0.7944
Tb  0.1647  0.1647  0.0000
Tb  0.2961  0.0000  0.2961
Tb  0.4339  0.6395  0.7944
Tb  0.5661  0.3605  0.2056
Tb  0.7039  0.0000  0.7039
Tb  0.8353  0.8353  0.0000
Tb  0.8451  0.6395  0.2056
Pr  0.0000  0.5000  0.5000
Tm  0.3007  0.8007  0.5000
Tm  0.6993  0.1993  0.5000

---

The following is a DFT calculation (PBE) of a relaxed structure of Tb4Pr3Tm4.

## Properties
E above lowest polymorph in meV per atom: 0
Raw total energy in eV/atom: -4.5925
Magnetic moment in μB/f.u.: 0.000

abc: 3.5850 5.0361 19.9224
angles: 82.75 84.97 90.00
Atoms (fractional coordinates):
Tb  0.0464  0.0473  0.4073
Tb  0.3174  0.3164  0.8670
Tb  0.6826  0.6836  0.1330
Tb  0.9536  0.9527  0.5927
Pr  0.1367  0.1379  0.2255
Pr  0.5000  0.5000  0.5000
Pr  0.8633  0.8621  0.7745
Tm  0.2282  0.2279  0.0441
Tm  0.4079  0.4076  0.6822
Tm  0.5921  0.5924  0.3178
Tm  0.7718  0.7721  0.9559

---

The following is a DFT calculation (PBE) of a relaxed structure of Tb4Pr3Tm4.

## Properties
E above lowest polymorph in meV per atom: 137
Raw total energy in eV/atom: -4.4551
Magnetic moment in μB/f.u.: 0.000

abc: 10.6510 6.6533 6.6533
angles: 50.77 90.00 90.00
Atoms (fractional coordinates):
Tb  0.0000  0.0000  0.0000
Tb  0.2155  0.7932  0.7932
Tb  0.5000  0.9312  0.9312
Tb  0.7845  0.7932  0.7932
Pr  0.0000  0.2972  0.2972
Pr  0.2896  0.4525  0.4525
Pr  0.7104  0.4525  0.4525
Tm  0.0000  0.6009  0.6009
Tm  0.2992  0.1470  0.1470
Tm  0.5000  0.6578  0.6578
Tm  0.7008  0.1470  0.1470

---

The following is a DFT calculation (PBE) of a relaxed structure of Tb6Pr2Tm3.

## Properties
E above lowest polymorph in meV per atom: 0
Raw total energy in eV/atom: -4.4368
Magnetic moment in μB/f.u.: 0.000

abc: 6.1201 6.1201 11.7278
angles: 95.04 95.04 120.06
Atoms (fractional coordinates):
Tb  0.0818  0.4151  0.2446
Tb  0.2513  0.2513  0.7552
Tb  0.4151  0.0818  0.2446
Tb  0.5849  0.9182  0.7554
Tb  0.7487  0.7487  0.2448
Tb  0.9182  0.5849  0.7554
Pr  0.1668  0.8332  0.5000
Pr  0.8332  0.1668  0.5000
Tm  0.0000  0.0000  0.0000
Tm  0.3345  0.6655  0.0000
Tm  0.6655  0.3345  0.0000

---

The following is a DFT calculation (PBE) of a relaxed structure of Tb3Pr3Tm2.

## Properties
Raw total energy in eV/atom: -4.5676
Magnetic moment in μB/f.u.: 0.000

abc: 8.7440 8.7440 6.0139
angles: 109.32 109.32 38.31
Atoms (fractional coordinates):
Tb  0.0000  0.0000  0.0000
Tb  0.1340  0.1340  0.5822
Tb  0.8660  0.8660  0.4178
Pr  0.3641  0.3641  0.8042
Pr  0.5000  0.5000  0.5000
Pr  0.6359  0.6359  0.1958
Tm  0.2497  0.2497  0.1819
Tm  0.7503  0.7503  0.8181

---

The following is a DFT calculation (PBE) of a relaxed structure of TbPr4Tm8.

## Properties
Raw total energy in eV/atom: -4.0475
Magnetic moment in μB/f.u.: 2.515

abc: 7.7845 7.7845 7.7845
angles: 90.13 90.13 90.13
Atoms (fractional coordinates):
Tb  0.0000  0.0000  0.0000
Pr  0.0000  0.0000  0.5000
Pr  0.0000  0.5000  0.0000
Pr  0.5000  0.0000  0.0000
Pr  0.5000  0.5000  0.5000
Tm  0.2586  0.7397  0.7397
Tm  0.2597  0.2597  0.2597
Tm  0.2603  0.2603  0.7414
Tm  0.2603  0.7414  0.2603
Tm  0.7397  0.2586  0.7397
Tm  0.7397  0.7397  0.2586
Tm  0.7403  0.7403  0.7403
Tm  0.7414  0.2603  0.2603

---

The following is a DFT calculation (PBE) of a relaxed structure of TbPr5Tm6.

## Properties
Raw total energy in eV/atom: -4.5907
Magnetic moment in μB/f.u.: 0.000

abc: 9.4993 9.4993 9.4993
angles: 148.73 116.64 72.35
Atoms (fractional coordinates):
Tb  0.0000  0.0000  0.0000
Pr  0.1648  0.6648  0.5000
Pr  0.3332  0.3332  0.0000
Pr  0.5000  0.0000  0.5000
Pr  0.6668  0.6668  0.0000
Pr  0.8352  0.3352  0.5000
Tm  0.0831  0.8338  0.2493
Tm  0.2486  0.5000  0.7486
Tm  0.4155  0.1662  0.2493
Tm  0.5845  0.8338  0.7507
Tm  0.7514  0.5000  0.2514
Tm  0.9169  0.1662  0.7507